DFT (GGA+U) results for a relaxed NaLaV4O12 crystal.

Unit cell a=7.281 b=6.204 c=6.204 alpha=67.22 beta=90.00 gamma=90.00
Sites, in units of the cell vectors:
1 Na 0.000 0.000 0.000
2 La 0.500 0.541 0.541
3 V 0.250 0.022 0.512
4 V 0.250 0.512 0.022
5 V 0.750 0.022 0.512
6 V 0.750 0.512 0.022
7 O 0.000 0.000 0.559
8 O 0.000 0.559 0.000
9 O 0.210 0.198 0.198
10 O 0.257 0.697 0.697
11 O 0.294 0.188 0.664
12 O 0.294 0.664 0.188
13 O 0.500 0.438 0.975
14 O 0.500 0.975 0.438
15 O 0.706 0.188 0.664
16 O 0.706 0.664 0.188
17 O 0.743 0.697 0.697
18 O 0.790 0.198 0.198

Values from the calculation:
Its total DFT energy (no corrections) is -7.380 eV/atom. As for the space group: Amm2. As for the total moment: 0.0 μB/cell.